Computed, not measured: a geometry-optimized SrCo2Sb structure at the GGA-PBE level of DFT.

Structure (CIF):
```
data_SrCo2Sb
_chemical_formula_sum 'Sr1 Co2 Sb1'
_symmetry_space_group_name_H-M 'P 4/m m m'
_symmetry_Int_Tables_number 123
_symmetry_space_group_name_Hall '-P 4 2'
_cell_length_a 4.6183
_cell_length_b 4.6183
_cell_length_c 3.4527
_cell_angle_alpha 90.00
_cell_angle_beta 90.00
_cell_angle_gamma 90.00
loop_
_atom_site_label
_atom_site_fract_x
_atom_site_fract_y
_atom_site_fract_z
_atom_site_occupancy
Sr1 0.0000 0.0000 0.0000 1
Co1 0.0000 0.5000 0.5000 1
Sb1 0.5000 0.5000 0.0000 1
```

Calculated values
ΔE_f (raw): 35 kJ/mol of atoms
DFT total energy: -18.6 eV for the cell shown
DOS(E_F): 3.7 states/eV per cell